A plane-wave DFT calculation with PBEsol was carried out for a relaxed structure of Be2AuSe.

Summary:
SG: No. 139
Formation energy from raw total energies: 0.3449 eV/atom
Total magnetic moment: 0.000 μB per atom

```
data_Be2AuSe
_chemical_formula_sum 'Be2 Au1 Se1'
_space_group_name_H-M_alt 'P 1'
_space_group_IT_number 1
_space_group_name_Hall 'P 1'
_cell_length_a 4.459
_cell_length_b 4.459
_cell_length_c 4.459
_cell_angle_alpha 127.13
_cell_angle_beta 127.13
_cell_angle_gamma 78.04
loop_
_atom_site_label
_atom_site_fract_x
_atom_site_fract_y
_atom_site_fract_z
Be1 0.250 0.750 0.500
Be2 0.750 0.250 0.500
Au1 0.000 0.000 0.000
Se1 0.500 0.500 0.000
```



A plane-wave DFT calculation with PBEsol was carried out for a relaxed structure of CaLa2I8.

Summary:
SG: No. 15
Formation energy from raw total energies: -1.4699 eV/atom
Total magnetic moment: 0.000 μB per atom

```
data_CaLa2I8
_chemical_formula_sum 'Ca2 La4 I16'
_space_group_name_H-M_alt 'P 1'
_space_group_IT_number 1
_space_group_name_Hall 'P 1'
_cell_length_a 11.376
_cell_length_b 11.376
_cell_length_c 9.913
_cell_angle_alpha 114.41
_cell_angle_beta 114.41
_cell_angle_gamma 54.61
loop_
_atom_site_label
_atom_site_fract_x
_atom_site_fract_y
_atom_site_fract_z
Ca1 0.036 0.964 0.750
Ca2 0.964 0.036 0.250
La1 0.016 0.416 0.716
La2 0.416 0.016 0.216
La3 0.584 0.984 0.784
La4 0.984 0.584 0.284
I1 0.039 0.307 0.989
I2 0.064 0.643 0.655
I3 0.134 0.791 0.433
I4 0.209 0.866 0.067
I5 0.307 0.039 0.489
I6 0.327 0.351 0.378
I7 0.351 0.327 0.878
I8 0.357 0.936 0.845
I9 0.643 0.064 0.155
I10 0.649 0.673 0.122
I11 0.673 0.649 0.622
I12 0.693 0.961 0.511
I13 0.791 0.134 0.933
I14 0.866 0.209 0.567
I15 0.936 0.357 0.345
I16 0.961 0.693 0.011
```



A plane-wave DFT calculation with PBEsol was carried out for a relaxed structure of Ta2HgRu.

Summary:
SG: No. 216
Formation energy: 0.29 eV/atom
Total magnetic moment: 0.004 μB per atom

```
data_Ta2HgRu
_chemical_formula_sum 'Ta2 Hg1 Ru1'
_space_group_name_H-M_alt 'P 1'
_space_group_IT_number 1
_space_group_name_Hall 'P 1'
_cell_length_a 4.564
_cell_length_b 4.564
_cell_length_c 4.564
_cell_angle_alpha 60.00
_cell_angle_beta 60.00
_cell_angle_gamma 60.00
loop_
_atom_site_label
_atom_site_fract_x
_atom_site_fract_y
_atom_site_fract_z
Ta1 0.000 0.000 0.000
Ta2 0.250 0.250 0.250
Hg1 0.750 0.750 0.750
Ru1 0.500 0.500 0.500
```